The following is a DFT calculation (PBE-GGA) of a relaxed structure of BaYCrFe2.

Cell: 4.5699 4.5699 5.0005 Å, 90.00 90.00 90.00°
With the nearest neighbours (Å) after each atom.
Space group P4/mmm (No. 123)
Unique sites:
Ba1 0.0000 0.0000 0.0000 [1 per cell]  4 Y 3.23, 8 Fe 3.39
Y1 0.5000 0.5000 0.0000 [1 per cell]  2 Cr 2.50
Cr1 0.5000 0.5000 0.5000 [1 per cell]  4 Fe 2.28, 2 Y 2.50
Fe1 0.0000 0.5000 0.5000 [2 per cell]  2 Cr 2.28

Values from the calculation:
- ΔH_f (0 K) (eV per atom) = 0.8520
- calculated volume (Å³/cell) = 104.43
- theoretical density (g/cm³) = 6.20


The following is a DFT calculation (PBE-GGA) of a relaxed structure of Cs2NiAgI6.

Cell: 8.1721 8.1721 11.3995 Å, 90.00 90.00 90.00°
With the nearest neighbours (Å) after each atom.
Space group I4/mmm (No. 139)
Unique sites:
Cs1 0.0000 0.5000 0.2500 [4 per cell]  12 I 4.06-4.09
Ni1 0.0000 0.0000 0.0000 [2 per cell]  6 I 2.67-2.83
Ag1 0.0000 0.0000 0.5000 [2 per cell]  6 I 2.87-3.10
I1 0.0000 0.0000 0.2482 [4 per cell]  1 Ni 2.83, 1 Ag 2.87
I2 0.2314 0.2314 0.0000 [8 per cell]  1 Ni 2.67

Values from the calculation:
- calculated volume (Å³/cell) = 761.29
- energy relative to the elements, uncorrected (eV/atom) = -0.67
- theoretical density (g/cm³) = 5.21